Entry 1:
Here is a relaxed structure of Ti2CrI from Alexandria. Energies are from PBE.

Summary:
Mass density   4.7 g cm⁻³
Formation energy (no corrections)   0.946 eV per atom
Energy above the most stable polymorph in this dataset   376.6 meV/atom
Electronic total energy   -5.79 eV/atom
Space group   I-42d, No. 122

Cell lengths 5.7339, 5.7339, 11.6991 Å; angles 90.00, 90.00, 90.00 degrees
Positions (direct):
Ti  0.1465  0.2500  0.1250
Ti  0.2500  0.6465  0.3750
Ti  0.2500  0.8535  0.8750
Ti  0.3535  0.2500  0.6250
Ti  0.6465  0.7500  0.6250
Ti  0.7500  0.1465  0.8750
Ti  0.7500  0.3535  0.3750
Ti  0.8535  0.7500  0.1250
Cr  0.0000  0.0000  0.0000
Cr  0.0000  0.5000  0.2500
Cr  0.5000  0.0000  0.7500
Cr  0.5000  0.5000  0.5000
I  0.0000  0.0000  0.5000
I  0.0000  0.5000  0.7500
I  0.5000  0.0000  0.2500
I  0.5000  0.5000  0.0000

Entry 2:
Here is a relaxed structure of LiCuNi2 from Alexandria. Energies are from PBE.

Summary:
Mass density   7.0 g cm⁻³
Electronic total energy   -4.36 eV/atom
Calculated formation energy   31 meV/atom
Space group   P4/mmm, No. 123

Cell lengths 3.4986, 3.4986, 3.6661 Å; angles 90.00, 90.00, 90.00 degrees
Positions (direct):
Li  0.0000  0.0000  0.0000
Cu  0.5000  0.5000  0.0000
Ni  0.0000  0.5000  0.5000
Ni  0.5000  0.0000  0.5000

Entry 3:
Here is a relaxed structure of Pr2NdSmTm5 from Alexandria. Energies are from PBE.

Summary:
Mass density   8.1 g cm⁻³
Electronic total energy   -4.35 eV/atom
Calculated formation energy   254 meV/atom
Space group   I4/mcm, No. 140

Cell lengths 9.8999, 9.8999, 9.8999 Å; angles 127.94, 127.94, 76.72 degrees
Positions (direct):
Pr  0.1177  0.6177  0.7354
Pr  0.3823  0.1177  0.5000
Pr  0.6177  0.8823  0.5000
Pr  0.8823  0.3823  0.2646
Nd  0.2500  0.2500  0.0000
Nd  0.7500  0.7500  0.0000
Sm  0.2500  0.7500  0.5000
Sm  0.7500  0.2500  0.5000
Tm  0.0000  0.0000  0.0000
Tm  0.0721  0.1507  0.5000
Tm  0.1507  0.6507  0.0787
Tm  0.3493  0.4279  0.5000
Tm  0.4279  0.9279  0.0787
Tm  0.5000  0.5000  0.0000
Tm  0.5721  0.0721  0.9213
Tm  0.6507  0.5721  0.5000
Tm  0.8493  0.3493  0.9213
Tm  0.9279  0.8493  0.5000

Entry 4:
Here is a relaxed structure of CrIn4Pb from Alexandria. Energies are from PBE.

Summary:
Mass density   7.4 g cm⁻³
Electronic total energy   -3.65 eV/atom
Calculated formation energy   398 meV/atom
Space group   F-43m, No. 216

Cell lengths 6.1149, 6.1149, 6.1149 Å; angles 60.00, 60.00, 60.00 degrees
Positions (direct):
Cr  0.0000  0.0000  0.0000
In  0.1240  0.6253  0.6253
In  0.6253  0.1240  0.6253
In  0.6253  0.6253  0.1240
In  0.6253  0.6253  0.6253
Pb  0.2500  0.2500  0.2500

Entry 5:
Here is a relaxed structure of ErBe2Ru from Alexandria. Energies are from PBE.

Summary:
Mass density   8.4 g cm⁻³
Energy above the most stable polymorph in this dataset   28.2 meV/atom
Electronic total energy   -5.54 eV/atom
Calculated formation energy   -219 meV/atom
Space group   P4/mmm, No. 123

Cell lengths 3.0932, 3.0932, 5.8878 Å; angles 90.00, 90.00, 90.00 degrees
Positions (direct):
Er  0.0000  0.0000  0.0000
Be  0.5000  0.5000  0.3251
Be  0.5000  0.5000  0.6749
Ru  0.0000  0.0000  0.5000

Entry 6:
Here is a relaxed structure of MnNiBr2 from Alexandria. Energies are from PBE.

Summary:
Mass density   5.1 g cm⁻³
Formation energy (no corrections)   0.255 eV per atom
Energy above the most stable polymorph in this dataset   464.0 meV/atom
Electronic total energy   -4.32 eV/atom
Space group   Cmmm, No. 65

Cell lengths 3.5756, 6.7635, 7.3158 Å; angles 90.00, 90.00, 90.00 degrees
Positions (direct):
Mn  0.0000  0.0000  0.0000
Mn  0.5000  0.5000  0.0000
Ni  0.0000  0.0000  0.5000
Ni  0.5000  0.5000  0.5000
Br  0.0000  0.5000  0.2664
Br  0.0000  0.5000  0.7336
Br  0.5000  0.0000  0.2664
Br  0.5000  0.0000  0.7336

Entry 7:
Here is a relaxed structure of NaNbSe2Br from Alexandria. Energies are from PBE.

Summary:
Mass density   4.2 g cm⁻³
Formation energy (no corrections)   -0.670 eV per atom
Energy above the most stable polymorph in this dataset   0.0 meV/atom
Electronic total energy   -4.68 eV/atom
Space group   P4/mmm, No. 123

Cell lengths 5.0586, 5.0586, 5.4523 Å; angles 90.00, 90.00, 90.00 degrees
Positions (direct):
Na  0.0000  0.0000  0.0000
Nb  0.5000  0.5000  0.5000
Se  0.0000  0.5000  0.5000
Se  0.5000  0.0000  0.5000
Br  0.5000  0.5000  0.0000

Entry 8:
Here is a relaxed structure of VZnPd5 from Alexandria. Energies are from PBE.

Summary:
Mass density   10.1 g cm⁻³
Energy above the most stable polymorph in this dataset   56.6 meV/atom
Electronic total energy   -5.39 eV/atom
Calculated formation energy   -193 meV/atom
Space group   C2/c, No. 15

Cell lengths 5.0009, 5.0009, 9.0885 Å; angles 102.88, 102.88, 94.03 degrees
Positions (direct):
V  0.0102  0.9898  0.7500
V  0.9898  0.0102  0.2500
Zn  0.5000  0.5000  0.0000
Zn  0.5000  0.5000  0.5000
Pd  0.0456  0.7393  0.4618
Pd  0.1035  0.4923  0.1567
Pd  0.2607  0.9544  0.0382
Pd  0.3547  0.6453  0.7500
Pd  0.4923  0.1035  0.6567
Pd  0.5077  0.8965  0.3433
Pd  0.6453  0.3547  0.2500
Pd  0.7393  0.0456  0.9618
Pd  0.8965  0.5077  0.8433
Pd  0.9544  0.2607  0.5382

Entry 9:
Here is a relaxed structure of SrLiCl2 from Alexandria. Energies are from PBE.

Summary:
Mass density   2.6 g cm⁻³
Formation energy (no corrections)   -1.043 eV per atom
Energy above the most stable polymorph in this dataset   604.7 meV/atom
Electronic total energy   -2.87 eV/atom
Space group   F-43m, No. 216

Cell lengths 7.4690, 7.4690, 7.4690 Å; angles 90.00, 90.00, 90.00 degrees
Positions (direct):
Sr  0.0000  0.0000  0.0000
Sr  0.0000  0.5000  0.5000
Sr  0.5000  0.0000  0.5000
Sr  0.5000  0.5000  0.0000
Li  0.2500  0.2500  0.7500
Li  0.2500  0.7500  0.2500
Li  0.7500  0.2500  0.2500
Li  0.7500  0.7500  0.7500
Cl  0.0000  0.0000  0.5000
Cl  0.0000  0.5000  0.0000
Cl  0.2500  0.2500  0.2500
Cl  0.2500  0.7500  0.7500
Cl  0.5000  0.0000  0.0000
Cl  0.5000  0.5000  0.5000
Cl  0.7500  0.2500  0.7500
Cl  0.7500  0.7500  0.2500

Entry 10:
Here is a relaxed structure of UOs2 from Alexandria. Energies are from PBE.

Summary:
Mass density   19.2 g cm⁻³
Electronic total energy   -11.33 eV/atom
Calculated formation energy   -85 meV/atom
Space group   Fd-3m, No. 227

Cell lengths 5.3246, 5.3246, 5.3246 Å; angles 60.00, 60.00, 60.00 degrees
Positions (direct):
U  0.1250  0.1250  0.1250
U  0.8750  0.8750  0.8750
Os  0.0000  0.5000  0.5000
Os  0.5000  0.0000  0.5000
Os  0.5000  0.5000  0.0000
Os  0.5000  0.5000  0.5000

Entry 11:
Here is a relaxed structure of MgCoNi14 from Alexandria. Energies are from PBE.

Summary:
Mass density   8.4 g cm⁻³
Electronic total energy   -5.59 eV/atom
Calculated formation energy   7 meV/atom
Space group   Amm2, No. 38

Cell lengths 8.2010, 5.0129, 5.0129 Å; angles 60.14, 90.00, 90.00 degrees
Positions (direct):
Mg  0.0000  0.0000  0.0000
Co  0.0000  0.5007  0.5007
Ni  0.0000  0.9996  0.5006
Ni  0.0000  0.5006  0.9996
Ni  0.2462  0.3337  0.3337
Ni  0.2535  0.3380  0.8299
Ni  0.2535  0.8299  0.3380
Ni  0.2551  0.8311  0.8311
Ni  0.5000  0.1665  0.6648
Ni  0.5000  0.1667  0.1667
Ni  0.5000  0.6648  0.1665
Ni  0.5000  0.6659  0.6659
Ni  0.7449  0.8311  0.8311
Ni  0.7465  0.3380  0.8299
Ni  0.7465  0.8299  0.3380
Ni  0.7538  0.3337  0.3337

Entry 12:
Here is a relaxed structure of Hf4HgBi from Alexandria. Energies are from PBE.

Summary:
Mass density   13.6 g cm⁻³
Electronic total energy   -7.34 eV/atom
Calculated formation energy   -5 meV/atom
Space group   P2_1/m, No. 11

Cell lengths 5.6178, 6.0474, 8.1206 Å; angles 90.00, 96.76, 90.00 degrees
Positions (direct):
Hf  0.1171  0.2500  0.0260
Hf  0.1777  0.7500  0.3537
Hf  0.2967  0.5007  0.7190
Hf  0.2967  0.9993  0.7190
Hf  0.7033  0.0007  0.2810
Hf  0.7033  0.4993  0.2810
Hf  0.8223  0.2500  0.6463
Hf  0.8829  0.7500  0.9740
Hg  0.3814  0.7500  0.0384
Hg  0.6186  0.2500  0.9616
Bi  0.2393  0.2500  0.3935
Bi  0.7607  0.7500  0.6065

| no. | volume (Å³ per cell) |
| --- | --- |
| 1 | 385 |
| 2 | 45 |
| 3 | 586 |
| 4 | 162 |
| 5 | 56 |
| 6 | 177 |
| 7 | 140 |
| 8 | 214 |
| 9 | 417 |
| 10 | 107 |
| 11 | 179 |
| 12 | 274 |